[1]
# TmAlAgAu

A relaxed structure of TmAlAgAu (GGA-PBE, Alexandria via LeMat-Bulk).

abc: 4.7815 4.7815 4.7815
angles: 60.00 60.00 60.00
Closest atoms and distances in Å follow each position.
Sites, in units of the cell vectors:
Tm (0.0000, 0.0000, 0.0000)  4 Au 2.93, 4 Ag 2.93
Au (0.7500, 0.7500, 0.7500)  4 Al 2.93, 4 Tm 2.93
Al (0.5000, 0.5000, 0.5000)  4 Ag 2.93, 4 Au 2.93
Ag (0.2500, 0.2500, 0.2500)  4 Al 2.93, 4 Tm 2.93

E   -4.129 eV per atom
DOS(E_F)   1.531 states/eV per cell
SG   F-43m (216)



[2]
# Ba3GaAg

A relaxed structure of Ba3GaAg (GGA-PBE, Alexandria via LeMat-Bulk).

abc: 4.5137 9.9441 9.8885
angles: 83.82 89.99 103.07
Closest atoms and distances in Å follow each position.
Sites, in units of the cell vectors:
Ba (0.0852, 0.2038, 0.3773)  4 Ag 3.40-3.56
Ba (0.4200, 0.8737, 0.6605)  3 Ga 3.36-3.37, 1 Ag 3.52
Ba (0.6235, 0.2798, 0.7613)  3 Ga 3.36-3.37, 1 Ag 3.52
Ba (0.9592, 0.9506, 0.0446)  4 Ag 3.40-3.56
Ba (0.2433, 0.5204, 0.0188)  3 Ga 3.45-3.57, 2 Ag 3.75
Ba (0.8007, 0.6339, 0.4024)  3 Ga 3.45-3.57, 2 Ag 3.75-3.76
Ga (0.2469, 0.5268, 0.6569)  2 Ga 2.71-2.72
Ga (0.7964, 0.6266, 0.7640)  2 Ga 2.71-2.72
Ag (0.4529, 0.9380, 0.3033)  1 Ag 3.09, 2 Ba 3.40
Ag (0.5917, 0.2169, 0.1186)  1 Ag 3.09, 2 Ba 3.40

E   -2.552 eV per atom
DOS(E_F)   10.695 states/eV per cell
SG   Cm (8)
Energy relative to the lowest polymorph listed for this composition   4 meV per atom